Entry 1:
First-principles (PBE) data for a relaxed structure of ThP2Pt7Pb2, as listed in Alexandria.

Summary:
The total DFT energy (no corrections) comes out at -6.261 eV per atom. The value obtained for the total magnetization is 0.000 μB/atom. Its theoretical density is 13.8 g/cm³. As for the formation enthalpy at 0 K: -0.60 eV per atom.

Cell: 4.042 4.042 15.520 Å, 82.55 82.55 90.05°
Fractional coordinates of all 12 atoms:
Pt1 0.076 0.576 0.849
P1 0.618 0.618 0.765
Pt2 0.309 0.309 0.384
Pb1 0.789 0.789 0.424
Pb2 0.211 0.211 0.576
Pt3 0.576 0.076 0.849
Pt4 0.500 0.500 0.000
Th1 0.000 0.000 0.000
P2 0.382 0.382 0.235
Pt5 0.924 0.424 0.151
Pt6 0.691 0.691 0.616
Pt7 0.424 0.924 0.151

=====

Entry 2:
First-principles (PBE) data for a relaxed structure of TlP2Pt7Pb2, as listed in Alexandria.

Summary:
The total DFT energy (no corrections) comes out at -5.551 eV per atom. The value obtained for the total magnetization is 0.000 μB/atom. Its theoretical density is 14.2 g/cm³. As for the formation enthalpy at 0 K: -0.31 eV per atom.

Cell: 3.958 3.958 15.491 Å, 82.67 82.67 89.95°
Fractional coordinates of all 12 atoms:
Pt1 0.425 0.926 0.149
Pt2 0.074 0.575 0.851
P1 0.616 0.616 0.768
Pt3 0.691 0.691 0.617
P2 0.384 0.384 0.232
Tl1 0.000 0.000 0.000
Pt4 0.500 0.500 0.000
Pt5 0.926 0.425 0.149
Pt6 0.575 0.074 0.851
Pb1 0.789 0.789 0.422
Pt7 0.309 0.309 0.383
Pb2 0.211 0.211 0.578

=====

Entry 3:
First-principles (PBE) data for a relaxed structure of ZnPPtPb2, as listed in Alexandria.

Summary:
The total DFT energy (no corrections) comes out at -3.779 eV per atom. The value obtained for the total magnetization is 0.000 μB/atom. Its theoretical density is 8.1 g/cm³. As for the formation enthalpy at 0 K: 0.25 eV per atom.

Cell: 5.750 4.378 5.750 Å, 90.00 90.00 90.00°
Fractional coordinates of all 5 atoms:
Pt1 0.000 0.000 0.000
Pb1 0.500 0.000 0.000
Pb2 0.000 0.000 0.500
Zn1 0.500 0.500 0.500
P1 0.000 0.500 0.000